[1]
A geometry-optimized LaTmGe structure. Source: OQMD, functional PBE.

Unit cell a=4.9324 b=4.9324 c=4.9324 alpha=60.00 beta=60.00 gamma=60.00
Atoms (fractional coordinates):
Ge1 0.2500 0.2500 0.2500
La1 0.7500 0.7500 0.7500
Tm1 0.0000 0.0000 0.0000

Results
symmetry: F-43m
total magnetization: 0.092 μB/atom
energy: -4.522 eV/atom

=====

[2]
A geometry-optimized NaPaBe structure. Source: OQMD, functional PBE.

Unit cell a=4.5907 b=4.5907 c=4.5907 alpha=60.00 beta=60.00 gamma=60.00
Atoms (fractional coordinates):
Be1 0.0000 0.0000 0.0000
Na1 0.2500 0.2500 0.2500
Pa1 0.7500 0.7500 0.7500

Results
symmetry: F-43m
total magnetization: 0.296 μB/atom
energy: -3.758 eV/atom
offset from the most stable computed form: 0 meV/atom

=====

[3]
A geometry-optimized NbInTeAuSe2 structure. Source: OQMD, functional PBE.

Unit cell a=8.1366 b=8.1366 c=10.4819 alpha=90.00 beta=90.00 gamma=154.27
Atoms (fractional coordinates):
Au1 0.0496 0.9504 0.2500
Au2 0.9504 0.0496 0.7500
In1 0.7233 0.2767 0.2500
In2 0.2767 0.7233 0.7500
Nb1 0.5000 0.5000 0.0000
Nb2 0.5000 0.5000 0.5000
Se1 0.1217 0.8783 0.0327
Se2 0.1217 0.8783 0.4673
Se3 0.8783 0.1217 0.5327
Se4 0.8783 0.1217 0.9673
Te1 0.4118 0.5881 0.2500
Te2 0.5881 0.4118 0.7500

Results
symmetry: Cmcm
total magnetization: 0.001 μB/atom
energy: -4.649 eV/atom

=====

[4]
A geometry-optimized Ho3Ni4B4C3 structure. Source: OQMD, functional PBE.

Unit cell a=12.9313 b=12.9313 c=12.9313 alpha=164.18 beta=164.18 gamma=22.44
Atoms (fractional coordinates):
B1 0.2492 0.2492 0.0000
B2 0.5456 0.5456 0.0000
B3 0.6633 0.6633 0.0000
B4 0.9596 0.9596 0.0000
C1 0.3082 0.3082 0.0000
C2 0.6045 0.6045 0.0000
C3 0.9006 0.9006 0.0000
Ho1 0.1045 0.1045 0.0000
Ho2 0.4036 0.4036 0.0000
Ho3 0.8053 0.8053 0.0000
Ni1 0.5038 0.0038 0.5000
Ni2 0.7051 0.2051 0.5000
Ni3 0.0038 0.5038 0.5000
Ni4 0.2051 0.7051 0.5000

Results
symmetry: I4/mmm
total magnetization: 0.000 μB/atom
energy: -6.985 eV/atom

=====

[5]
A geometry-optimized Ba2GaOsO6 structure. Source: OQMD, functional PBE.

Unit cell a=5.6893 b=5.6893 c=5.6893 alpha=59.91 beta=59.91 gamma=59.91
Atoms (fractional coordinates):
Ba1 0.2499 0.2499 0.2499
Ba2 0.7501 0.7501 0.7501
Ga1 0.5000 0.5000 0.5000
O1 0.7520 0.2494 0.2476
O2 0.7506 0.7524 0.2480
O3 0.2476 0.7520 0.2494
O4 0.7524 0.2480 0.7506
O5 0.2494 0.2476 0.7520
O6 0.2480 0.7506 0.7524
Os1 0.0000 0.0000 0.0000

Results
symmetry: R-3
total magnetization: 0.300 μB/atom
energy: -6.719 eV/atom

=====

[6]
A geometry-optimized KTbP2H4O9 structure. Source: OQMD, functional PBE.

Unit cell a=7.6202 b=10.6010 c=9.6805 alpha=90.00 beta=92.53 gamma=90.00
Atoms (fractional coordinates):
H1 0.1459 0.5901 0.0201
H2 0.5271 0.6908 0.0244
H3 0.2932 0.4796 0.0304
H4 0.5786 0.5850 0.1311
H5 0.4214 0.0850 0.3689
H6 0.7068 0.9796 0.4696
H7 0.4729 0.1908 0.4756
H8 0.8541 0.0901 0.4799
H9 0.1459 0.9099 0.5201
H10 0.5271 0.8092 0.5244
H11 0.2932 0.0204 0.5304
H12 0.5786 0.9150 0.6311
H13 0.4214 0.4150 0.8689
H14 0.7068 0.5204 0.9696
H15 0.4729 0.3092 0.9756
H16 0.8541 0.4099 0.9799
K1 0.2547 0.2157 0.1596
K2 0.7453 0.7157 0.3404
K3 0.2547 0.2843 0.6596
K4 0.7453 0.7843 0.8404
O1 0.4144 0.8612 0.0274
O2 0.9558 0.1626 0.0283
O3 0.6263 0.6360 0.0542
O4 0.2378 0.5524 0.0794
O5 0.8503 0.9135 0.1613
O6 0.1792 0.9411 0.1874
O7 0.0414 0.7230 0.2003
O8 0.5865 0.2874 0.2227
O9 0.4836 0.0154 0.2261
O10 0.5164 0.5154 0.2739
O11 0.4135 0.7874 0.2773
O12 0.9586 0.2230 0.2997
O13 0.8208 0.4411 0.3126
O14 0.1497 0.4135 0.3387
O15 0.7622 0.0524 0.4206
O16 0.3737 0.1360 0.4458
O17 0.0442 0.6626 0.4717
O18 0.5856 0.3612 0.4726
O19 0.4144 0.6388 0.5274
O20 0.9558 0.3374 0.5283
O21 0.6263 0.8640 0.5542
O22 0.2378 0.9476 0.5794
O23 0.8503 0.5865 0.6613
O24 0.1792 0.5589 0.6874
O25 0.0414 0.7770 0.7003
O26 0.5865 0.2126 0.7227
O27 0.4836 0.4846 0.7261
O28 0.5164 0.9846 0.7739
O29 0.4135 0.7126 0.7773
O30 0.9586 0.2770 0.7997
O31 0.8208 0.0589 0.8126
O32 0.1497 0.0865 0.8387
O33 0.7622 0.4476 0.9206
O34 0.3737 0.3640 0.9458
O35 0.0442 0.8374 0.9717
O36 0.5856 0.1388 0.9726
P1 0.0209 0.8491 0.1265
P2 0.3853 0.8969 0.1771
P3 0.6147 0.3969 0.3229
P4 0.9791 0.3491 0.3735
P5 0.0209 0.6509 0.6265
P6 0.3853 0.6031 0.6771
P7 0.6147 0.1031 0.8229
P8 0.9791 0.1509 0.8735
Tb1 0.7478 0.1120 0.1802
Tb2 0.2522 0.6120 0.3198
Tb3 0.7478 0.3880 0.6802
Tb4 0.2522 0.8880 0.8198

Results
symmetry: P2_1/c
total magnetization: 0.000 μB/atom
energy: -6.480 eV/atom

=====

[7]
A geometry-optimized TbDyP2Pt2O2 structure. Source: OQMD, functional PBE.

Unit cell a=4.0834 b=4.0834 c=7.7547 alpha=90.00 beta=90.00 gamma=90.00
Atoms (fractional coordinates):
Dy1 0.0000 0.0000 0.8677
O1 0.5000 0.0000 0.9989
O2 0.0000 0.5000 0.9989
P1 0.0000 0.0000 0.3352
P2 0.5000 0.5000 0.6652
Pt1 0.5000 0.0000 0.5004
Pt2 0.0000 0.5000 0.5004
Tb1 0.5000 0.5000 0.1333

Results
symmetry: P4mm
total magnetization: 0.003 μB/atom
energy: -7.122 eV/atom

=====

[8]
A geometry-optimized Co2Cl structure. Source: OQMD, functional PBE.

Unit cell a=6.7766 b=6.7766 c=6.7766 alpha=60.00 beta=60.00 gamma=60.00
Atoms (fractional coordinates):
Cl1 0.2500 0.2500 0.2500
Cl2 0.5000 0.5000 0.5000
Co1 0.8750 0.3750 0.3750
Co2 0.3750 0.8750 0.3750
Co3 0.3750 0.3750 0.3750
Co4 0.3750 0.3750 0.8750

Results
symmetry: Fd-3m
total magnetization: 1.000 μB/atom
energy: -3.997 eV/atom
offset from the most stable computed form: 609 meV/atom

=====

[9]
A geometry-optimized TbHfPO structure. Source: OQMD, functional PBE.

Unit cell a=3.9380 b=7.2576 c=5.7101 alpha=90.00 beta=90.00 gamma=90.00
Atoms (fractional coordinates):
Hf1 0.5000 0.1112 0.4939
Hf2 0.5000 0.8888 0.9939
O1 0.5000 0.8451 0.3588
O2 0.5000 0.1549 0.8588
P1 0.0000 0.3318 0.4495
P2 0.0000 0.6682 0.9495
Tb1 0.0000 0.7114 0.4519
Tb2 0.0000 0.2886 0.9519

Results
symmetry: Pmc2_1
total magnetization: 0.008 μB/atom
energy: -8.035 eV/atom
offset from the most stable computed form: 199 meV/atom

=====

[10]
A geometry-optimized MgTlZnNi structure. Source: OQMD, functional PBE.

Unit cell a=4.5819 b=4.5819 c=4.5819 alpha=60.00 beta=60.00 gamma=60.00
Atoms (fractional coordinates):
Mg1 0.2500 0.2500 0.2500
Ni1 0.7500 0.7500 0.7500
Tl1 0.0000 0.0000 0.0000
Zn1 0.5000 0.5000 0.5000

Results
symmetry: F-43m
total magnetization: 0.000 μB/atom
energy: -2.594 eV/atom

=====

[11]
A geometry-optimized Dy3HoTl2B2 structure. Source: OQMD, functional PBE.

Unit cell a=3.6422 b=3.6422 c=16.9072 alpha=90.00 beta=90.00 gamma=120.00
Atoms (fractional coordinates):
B1 0.3333 0.6667 0.5002
B2 0.3333 0.6667 0.9994
Dy1 0.6667 0.3333 0.0905
Dy2 0.6667 0.3333 0.4089
Dy3 0.0000 0.0000 0.5917
Ho1 0.0000 0.0000 0.9089
Tl1 0.0000 0.0000 0.2498
Tl2 0.6667 0.3333 0.7507

Results
symmetry: P3m1
total magnetization: 0.008 μB/atom
energy: -4.653 eV/atom

=====

[12]
A geometry-optimized Pr2O3 structure. Source: OQMD, functional PBE.

Unit cell a=9.7041 b=9.7041 c=9.7041 alpha=109.47 beta=109.47 gamma=109.47
Atoms (fractional coordinates):
O1 0.0399 0.2708 0.0119
O2 0.4881 0.7589 0.0280
O3 0.2708 0.0119 0.0399
O4 0.2691 0.7411 0.2292
O5 0.4601 0.4720 0.2309
O6 0.9720 0.5119 0.2411
O7 0.7708 0.7309 0.2589
O8 0.7411 0.2292 0.2691
O9 0.0119 0.0399 0.2708
O10 0.4720 0.2309 0.4601
O11 0.2309 0.4601 0.4720
O12 0.7589 0.0280 0.4881
O13 0.2411 0.9720 0.5119
O14 0.7691 0.5399 0.5280
O15 0.5280 0.7691 0.5399
O16 0.9881 0.9601 0.7292
O17 0.2589 0.7708 0.7309
O18 0.2292 0.2691 0.7411
O19 0.0280 0.4881 0.7589
O20 0.5399 0.5280 0.7691
O21 0.7309 0.2589 0.7708
O22 0.7292 0.9881 0.9601
O23 0.5119 0.2411 0.9720
O24 0.9601 0.7292 0.9881
Pr1 0.5000 0.0000 0.0000
Pr2 0.0000 0.5000 0.0000
Pr3 0.7500 0.7805 0.0305
Pr4 0.9695 0.2500 0.2195
Pr5 0.7195 0.4695 0.2500
Pr6 0.2195 0.9695 0.2500
Pr7 0.5305 0.7500 0.2805
Pr8 0.2500 0.7195 0.4695
Pr9 0.0000 0.0000 0.5000
Pr10 0.5000 0.5000 0.5000
Pr11 0.7500 0.2805 0.5305
Pr12 0.4695 0.2500 0.7195
Pr13 0.7805 0.0305 0.7500
Pr14 0.2805 0.5305 0.7500
Pr15 0.0305 0.7500 0.7805
Pr16 0.2500 0.2195 0.9695

Results
symmetry: Ia-3
total magnetization: 0.000 μB/atom
energy: -8.200 eV/atom

=====

[13]
A geometry-optimized HfNbP structure. Source: OQMD, functional PBE.

Unit cell a=7.0457 b=7.0457 c=3.5151 alpha=90.00 beta=90.00 gamma=120.00
Atoms (fractional coordinates):
Hf1 0.5924 0.0000 0.0000
Hf2 0.4076 0.4076 0.0000
Hf3 0.0000 0.5924 0.0000
Nb1 0.2547 0.0000 0.5000
Nb2 0.0000 0.2547 0.5000
Nb3 0.7453 0.7453 0.5000
P1 0.0000 0.0000 0.0000
P2 0.6667 0.3333 0.5000
P3 0.3333 0.6667 0.5000

Results
symmetry: P-62m
total magnetization: 0.003 μB/atom
energy: -9.401 eV/atom
offset from the most stable computed form: 115 meV/atom

=====

[14]
A geometry-optimized Pr2NdB2Os2N3 structure. Source: OQMD, functional PBE.

Unit cell a=10.8423 b=10.8423 c=10.8423 alpha=160.24 beta=160.24 gamma=28.08
Atoms (fractional coordinates):
B1 0.1877 0.1877 0.0000
B2 0.8123 0.8123 0.0000
N1 0.1169 0.1169 0.0000
N2 0.5000 0.5000 0.0000
N3 0.8831 0.8831 0.0000
Nd1 0.0000 0.0000 0.0000
Os1 0.7500 0.2500 0.5000
Os2 0.2500 0.7500 0.5000
Pr1 0.3782 0.3782 0.0000
Pr2 0.6218 0.6218 0.0000

Results
symmetry: I4/mmm
total magnetization: 0.000 μB/atom
energy: -8.453 eV/atom

=====

[15]
A geometry-optimized Li2Sc2Tl2AgPt structure. Source: OQMD, functional PBE.

Unit cell a=4.6922 b=4.6922 c=6.7412 alpha=90.00 beta=90.00 gamma=90.00
Atoms (fractional coordinates):
Ag1 0.5000 0.5000 0.0000
Li1 0.0000 0.0000 0.0000
Li2 0.5000 0.5000 0.5000
Pt1 0.0000 0.0000 0.5000
Sc1 0.5000 0.0000 0.2691
Sc2 0.0000 0.5000 0.7309
Tl1 0.0000 0.5000 0.2477
Tl2 0.5000 0.0000 0.7523

Results
symmetry: P-4m2
total magnetization: 0.001 μB/atom
energy: -4.193 eV/atom

=====

[16]
A geometry-optimized CsZrTlS3 structure. Source: OQMD, functional PBE.

Unit cell a=16.2525 b=3.8367 c=11.6553 alpha=90.00 beta=90.00 gamma=90.00
Atoms (fractional coordinates):
Cs1 0.2669 0.2500 0.1111
Cs2 0.7669 0.2500 0.3889
Cs3 0.2331 0.7500 0.6111
Cs4 0.7331 0.7500 0.8889
S1 0.8317 0.2500 0.1053
S2 0.0480 0.2500 0.1086
S3 0.4416 0.7500 0.1619
S4 0.9416 0.7500 0.3381
S5 0.5480 0.2500 0.3914
S6 0.3317 0.2500 0.3947
S7 0.6683 0.7500 0.6053
S8 0.4520 0.7500 0.6086
S9 0.0584 0.2500 0.6619
S10 0.5584 0.2500 0.8381
S11 0.9520 0.7500 0.8914
S12 0.1683 0.7500 0.8947
Tl1 0.5702 0.2500 0.1370
Tl2 0.0702 0.2500 0.3630
Tl3 0.9298 0.7500 0.6370
Tl4 0.4298 0.7500 0.8630
Zr1 0.9358 0.7500 0.1247
Zr2 0.4358 0.7500 0.3753
Zr3 0.5642 0.2500 0.6247
Zr4 0.0642 0.2500 0.8753

Results
symmetry: Pnma
total magnetization: 0.000 μB/atom
energy: -5.248 eV/atom
offset from the most stable computed form: 0 meV/atom

=====

[17]
A geometry-optimized Li2CdAg2SnAu2 structure. Source: OQMD, functional PBE.

Unit cell a=4.6328 b=4.6328 c=6.7148 alpha=90.00 beta=90.00 gamma=90.00
Atoms (fractional coordinates):
Ag1 0.5000 0.0000 0.2545
Ag2 0.0000 0.5000 0.7455
Au1 0.0000 0.5000 0.2500
Au2 0.5000 0.0000 0.7500
Cd1 0.0000 0.0000 0.5000
Li1 0.0000 0.0000 0.0000
Li2 0.5000 0.5000 0.5000
Sn1 0.5000 0.5000 0.0000

Results
symmetry: P-4m2
energy: -2.931 eV/atom

=====

[18]
A geometry-optimized ThMg structure. Source: OQMD, functional PBE.

Unit cell a=5.9625 b=13.7181 c=5.5795 alpha=90.00 beta=90.00 gamma=90.00
Atoms (fractional coordinates):
Mg1 0.5028 0.1335 0.0000
Mg2 0.0102 0.2500 0.0000
Mg3 0.5028 0.3665 0.0000
Mg4 0.9936 0.7500 0.0000
Mg5 0.3397 0.2500 0.5000
Mg6 0.8304 0.6335 0.5000
Mg7 0.3232 0.7500 0.5000
Mg8 0.8304 0.8665 0.5000
Th1 0.0073 0.5030 0.0000
Th2 0.4892 0.6167 0.0000
Th3 0.4892 0.8833 0.0000
Th4 0.0073 0.9970 0.0000
Th5 0.3261 0.0030 0.5000
Th6 0.8441 0.1167 0.5000
Th7 0.8441 0.3833 0.5000
Th8 0.3261 0.4970 0.5000

Results
symmetry: Pmmn
total magnetization: 0.001 μB/atom
energy: -4.342 eV/atom

=====

[19]
A geometry-optimized AgPdCl3 structure. Source: OQMD, functional PBE.

Unit cell a=6.8989 b=6.8989 c=6.8989 alpha=60.03 beta=60.03 gamma=60.03
Atoms (fractional coordinates):
Ag1 0.0000 0.0000 0.0000
Ag2 0.5000 0.5000 0.5000
Cl1 0.4113 0.7500 0.0887
Cl2 0.9113 0.5887 0.2500
Cl3 0.7500 0.0887 0.4113
Cl4 0.2500 0.9113 0.5887
Cl5 0.0887 0.4113 0.7500
Cl6 0.5887 0.2500 0.9113
Pd1 0.2500 0.2500 0.2500
Pd2 0.7500 0.7500 0.7500

Results
symmetry: R-3c
energy: -2.871 eV/atom
offset from the most stable computed form: 232 meV/atom